Entry 1:
B5C7: relaxed, PBE-GGA.

Computed properties:
For the density, the calculation gives 2.87 g/cm3. The value obtained for the energy above the most stable polymorph in this dataset is 2.10 eV/f.u. The density of states at the Fermi level is 2.376 states/eV/f.u.

Lattice parameters (Å, degrees): 3.814 2.577 8.132 90.00 91.92 90.00
Atoms (fractional coordinates):
B 0.000 0.000 0.000
B 0.011 0.000 0.388
B 0.298 0.000 0.241
B 0.559 0.500 0.863
B 0.587 0.500 0.200
C 0.035 0.000 0.700
C 0.270 0.000 0.858
C 0.291 0.000 0.548
C 0.528 0.500 0.548
C 0.745 0.500 0.392
C 0.795 0.500 0.698
C 0.799 0.500 0.039

=====

Entry 2:
CeZr2PtN4: relaxed, PBE-GGA.

Computed properties:
The calculation puts the raw formation energy at -1094 meV per atom. For the density, the calculation gives 8.86 g/cm3. The density of states at the Fermi level is 2.056 states/eV/f.u.

Lattice parameters (Å, degrees): 5.864 5.864 11.554 90.00 90.00 147.23
Atoms (fractional coordinates):
Ce 0.113 0.887 0.750
Ce 0.887 0.113 0.250
Zr 0.369 0.631 0.551
Zr 0.369 0.631 0.949
Zr 0.631 0.369 0.051
Zr 0.631 0.369 0.449
Pt 0.156 0.844 0.250
Pt 0.844 0.156 0.750
N 0.000 0.000 0.000
N 0.000 0.000 0.500
N 0.274 0.726 0.107
N 0.274 0.726 0.393
N 0.476 0.524 0.750
N 0.524 0.476 0.250
N 0.726 0.274 0.607
N 0.726 0.274 0.893

=====

Entry 3:
K4TmPa3Se8: relaxed, PBE-GGA.

Computed properties:
The calculation puts the raw formation energy at -1410 meV per atom. For the density, the calculation gives 5.84 g/cm3. The density of states at the Fermi level is 15.244 states/eV/f.u.

Lattice parameters (Å, degrees): 9.193 9.193 9.193 53.73 53.73 53.73
Atoms (fractional coordinates):
K 0.000 0.000 0.000
K 0.000 0.500 0.500
K 0.500 0.000 0.500
K 0.500 0.500 0.000
Tm 0.500 0.500 0.500
Pa 0.000 0.000 0.500
Pa 0.000 0.500 0.000
Pa 0.500 0.000 0.000
Se 0.238 0.238 0.238
Se 0.242 0.734 0.734
Se 0.266 0.266 0.758
Se 0.266 0.758 0.266
Se 0.734 0.242 0.734
Se 0.734 0.734 0.242
Se 0.758 0.266 0.266
Se 0.762 0.762 0.762

=====

Entry 4:
Pa2NiAs4Rh3: relaxed, PBE-GGA.

Computed properties:
The uncorrected energy is -72.55 eV per formula unit. For the density, the calculation gives 10.59 g/cm3. The density of states at the Fermi level is 6.881 states/eV/f.u.

Lattice parameters (Å, degrees): 4.311 4.311 9.530 90.00 90.00 90.00
Atoms (fractional coordinates):
Pa 0.000 0.500 0.243
Pa 0.500 0.000 0.757
Ni 0.500 0.500 0.000
As 0.000 0.000 0.500
As 0.000 0.500 0.874
As 0.500 0.000 0.126
As 0.500 0.500 0.500
Rh 0.000 0.000 0.000
Rh 0.000 0.500 0.623
Rh 0.500 0.000 0.377

=====

Entry 5:
SrInCuRh: relaxed, PBE-GGA.

Computed properties:
The uncorrected energy is -17.05 eV per formula unit. For the density, the calculation gives 6.37 g/cm3. The density of states at the Fermi level is 2.783 states/eV/f.u.

Lattice parameters (Å, degrees): 4.585 4.585 5.911 112.88 112.88 60.01
Atoms (fractional coordinates):
Sr 0.000 0.000 0.000
In 0.506 0.506 0.518
Cu 0.810 0.810 0.430
Rh 0.191 0.191 0.574

=====

Entry 6:
LiMgAsO4: relaxed, PBE-GGA.

Computed properties:
The calculation puts the raw formation energy at -1974 meV per atom. For the density, the calculation gives 3.66 g/cm3. The value obtained for the energy above the most stable polymorph in this dataset is 0.07 eV/f.u. The density of states at the Fermi level is 0.000 states/eV/f.u.

Lattice parameters (Å, degrees): 5.165 5.165 6.319 90.00 90.00 113.77
Atoms (fractional coordinates):
Li 0.164 0.836 0.750
Li 0.836 0.164 0.250
Mg 0.500 0.500 0.000
Mg 0.500 0.500 0.500
As 0.151 0.849 0.250
As 0.849 0.151 0.750
O 0.218 0.262 0.750
O 0.262 0.218 0.250
O 0.262 0.738 0.029
O 0.262 0.738 0.471
O 0.738 0.262 0.529
O 0.738 0.262 0.971
O 0.738 0.782 0.750
O 0.782 0.738 0.250